Record 1
The following is a DFT calculation (PBE) of a geometry-optimized Co6HgP4 structure.

Output
Crystal system ... hexagonal
Total DFT energy (no corrections) ... -6.26 eV per atom

Unit cell a=6.6544 b=6.6544 c=3.3320 alpha=90.00 beta=90.00 gamma=120.00
Closest atoms and distances in Å follow each position.
Space group P-6m2 (No. 187)
Asymmetric unit:
Co1 0.0553 0.5276 0.0000 [3 per cell]  4 P 2.24-2.31
Co2 0.1325 0.2649 0.5000 [3 per cell]  5 P 2.29-2.32
Hg1 0.6667 0.3333 0.5000 [1 per cell]  6 P 2.79, 6 Co 2.79
P1 0.2790 0.1395 0.0000 [3 per cell]  6 Co 2.24-2.29
P2 0.3333 0.6667 0.5000 [1 per cell]  9 Co 2.31-2.32

Record 2
The following is a DFT calculation (PBE) of a geometry-optimized Pa2Co2Hg structure.

Output
Crystal system ... tetragonal
Total DFT energy (no corrections) ... -7.02 eV per atom

Unit cell a=7.4436 b=7.4436 c=3.4316 alpha=90.00 beta=90.00 gamma=90.00
Closest atoms and distances in Å follow each position.
Space group P4/mbm (No. 127)
Asymmetric unit:
Pa1 0.1659 0.3341 0.0000 [4 per cell]  6 Co 2.74-2.81
Co1 0.1308 0.6308 0.5000 [4 per cell]  6 Pa 2.74-2.81, 1 Co 2.75, 2 Hg 2.92
Hg1 0.0000 0.0000 0.5000 [2 per cell]  4 Co 2.92, 8 Pa 3.26

Record 3
The following is a DFT calculation (PBE) of a geometry-optimized CoHgPb structure.

Output
Crystal system ... cubic
Total DFT energy (no corrections) ... -3.32 eV per atom

Unit cell a=6.3795 b=6.3795 c=6.3795 alpha=90.00 beta=90.00 gamma=90.00
Closest atoms and distances in Å follow each position.
Space group F-43m (No. 216)
Asymmetric unit:
Co1 0.0000 0.0000 0.0000 [4 per cell]  4 Pb 2.76, 4 Hg 2.76
Hg1 0.2500 0.2500 0.7500 [4 per cell]  4 Co 2.76
Pb1 0.2500 0.2500 0.2500 [4 per cell]  4 Co 2.76

Record 4
The following is a DFT calculation (PBE) of a geometry-optimized CoHgPbSe3 structure.

Output
Crystal system ... orthorhombic
Total DFT energy (no corrections) ... -3.76 eV per atom

Unit cell a=3.7301 b=16.5041 c=9.8964 alpha=90.00 beta=90.00 gamma=90.00
Closest atoms and distances in Å follow each position.
Space group Cmcm (No. 63)
Asymmetric unit:
Co1 0.0000 0.0000 0.0000 [4 per cell]  6 Se 2.40-2.53
Hg1 0.0000 0.3154 0.2500 [4 per cell]  2 Se 2.73
Pb1 0.0000 0.3382 0.7500 [4 per cell]  4 Se 2.84-2.95, 2 Hg 3.15
Se1 0.0000 0.0318 0.2500 [4 per cell]  2 Co 2.53
Se2 0.0000 0.4094 0.0232 [8 per cell]  2 Co 2.40

Record 5
The following is a DFT calculation (PBE) of a geometry-optimized TaCoHgPb structure.

Output
Crystal system ... cubic
Relative energy among the computed polymorphs ... 14.6 meV/atom
Total DFT energy (no corrections) ... -4.97 eV per atom

Unit cell a=6.6797 b=6.6797 c=6.6797 alpha=90.00 beta=90.00 gamma=90.00
Closest atoms and distances in Å follow each position.
Space group F-43m (No. 216)
Asymmetric unit:
Ta1 0.0000 0.0000 0.0000 [4 per cell]  4 Hg 2.89, 4 Pb 2.89
Co1 0.0000 0.0000 0.5000 [4 per cell]  4 Hg 2.89, 4 Pb 2.89
Hg1 0.2500 0.2500 0.7500 [4 per cell]  4 Ta 2.89, 4 Co 2.89
Pb1 0.2500 0.2500 0.2500 [4 per cell]  4 Ta 2.89, 4 Co 2.89

Record 6
The following is a DFT calculation (PBE) of a geometry-optimized TaCoHgPb structure.

Output
Crystal system ... cubic
Relative energy among the computed polymorphs ... 0.0 meV/atom
Total DFT energy (no corrections) ... -4.98 eV per atom

Unit cell a=6.7439 b=6.7439 c=6.7439 alpha=90.00 beta=90.00 gamma=90.00
Closest atoms and distances in Å follow each position.
Space group F-43m (No. 216)
Asymmetric unit:
Ta1 0.0000 0.0000 0.0000 [4 per cell]  4 Hg 2.92, 4 Co 2.92
Co1 0.2500 0.2500 0.7500 [4 per cell]  4 Ta 2.92, 4 Pb 2.92
Hg1 0.2500 0.2500 0.2500 [4 per cell]  4 Ta 2.92, 4 Pb 2.92
Pb1 0.0000 0.0000 0.5000 [4 per cell]  4 Co 2.92, 4 Hg 2.92

Record 7
The following is a DFT calculation (PBE) of a geometry-optimized CoTcHgPb structure.

Output
Crystal system ... cubic
Relative energy among the computed polymorphs ... 0.0 meV/atom
Total DFT energy (no corrections) ... -4.65 eV per atom

Unit cell a=6.5323 b=6.5323 c=6.5323 alpha=90.00 beta=90.00 gamma=90.00
Closest atoms and distances in Å follow each position.
Space group F-43m (No. 216)
Asymmetric unit:
Co1 0.0000 0.0000 0.0000 [4 per cell]  4 Pb 2.83, 4 Hg 2.83
Tc1 0.0000 0.0000 0.5000 [4 per cell]  4 Hg 2.83, 4 Pb 2.83
Hg1 0.2500 0.2500 0.2500 [4 per cell]  4 Co 2.83, 4 Tc 2.83
Pb1 0.2500 0.2500 0.7500 [4 per cell]  4 Tc 2.83, 4 Co 2.83

Record 8
The following is a DFT calculation (PBE) of a geometry-optimized CoHgTe3Pb structure.

Output
Crystal system ... orthorhombic
Relative energy among the computed polymorphs ... 0.0 meV/atom
Total DFT energy (no corrections) ... -3.50 eV per atom

Unit cell a=3.8291 b=17.7177 c=10.6025 alpha=90.00 beta=90.00 gamma=90.00
Closest atoms and distances in Å follow each position.
Space group Cmcm (No. 63)
Asymmetric unit:
Co1 0.0000 0.0000 0.0000 [4 per cell]  6 Te 2.55-2.70
Hg1 0.0000 0.3123 0.2500 [4 per cell]  2 Te 2.94, 2 Pb 3.15
Te1 0.0000 0.0282 0.2500 [4 per cell]  2 Co 2.70
Te2 0.0000 0.4054 0.0203 [8 per cell]  2 Co 2.55
Pb1 0.0000 0.3290 0.7500 [4 per cell]  2 Hg 3.15, 4 Te 3.17

Record 9
The following is a DFT calculation (PBE) of a geometry-optimized CoHgTe3Pb structure.

Output
Crystal system ... orthorhombic
Relative energy among the computed polymorphs ... 52.6 meV/atom
Total DFT energy (no corrections) ... -3.44 eV per atom

Unit cell a=4.0965 b=13.4634 c=12.3883 alpha=90.00 beta=90.00 gamma=90.00
Closest atoms and distances in Å follow each position.
Space group Cmcm (No. 63)
Asymmetric unit:
Co1 0.0000 0.0829 0.2500 [4 per cell]  4 Te 2.48
Hg1 0.0000 0.5000 0.0000 [4 per cell]  6 Te 3.03-3.11
Te1 0.0000 0.1549 0.0658 [8 per cell]  1 Co 2.48
Te2 0.0000 0.4794 0.2500 [4 per cell]  2 Co 2.48
Pb1 0.0000 0.2594 0.7500 [4 per cell]  2 Co 2.95, 4 Te 3.28

Record 10
The following is a DFT calculation (PBE) of a geometry-optimized YCoHgPb structure.

Output
Crystal system ... cubic
Relative energy among the computed polymorphs ... 0.0 meV/atom
Total DFT energy (no corrections) ... -4.34 eV per atom

Unit cell a=6.9509 b=6.9509 c=6.9509 alpha=90.00 beta=90.00 gamma=90.00
Closest atoms and distances in Å follow each position.
Space group F-43m (No. 216)
Asymmetric unit:
Y1 0.0000 0.0000 0.0000 [4 per cell]  4 Hg 3.01, 4 Pb 3.01
Co1 0.0000 0.0000 0.5000 [4 per cell]  4 Hg 3.01, 4 Pb 3.01
Hg1 0.2500 0.2500 0.7500 [4 per cell]  4 Co 3.01, 4 Y 3.01
Pb1 0.2500 0.2500 0.2500 [4 per cell]  4 Co 3.01, 4 Y 3.01

Record 11
The following is a DFT calculation (PBE) of a geometry-optimized YCoHgPb structure.

Output
Crystal system ... cubic
Relative energy among the computed polymorphs ... 16.0 meV/atom
Total DFT energy (no corrections) ... -4.33 eV per atom

Unit cell a=7.0728 b=7.0728 c=7.0728 alpha=90.00 beta=90.00 gamma=90.00
Closest atoms and distances in Å follow each position.
Space group F-43m (No. 216)
Asymmetric unit:
Y1 0.0000 0.0000 0.0000 [4 per cell]  4 Hg 3.06, 4 Co 3.06
Co1 0.2500 0.2500 0.7500 [4 per cell]  4 Pb 3.06, 4 Y 3.06
Hg1 0.2500 0.2500 0.2500 [4 per cell]  4 Pb 3.06, 4 Y 3.06
Pb1 0.0000 0.0000 0.5000 [4 per cell]  4 Hg 3.06, 4 Co 3.06

Record 12
The following is a DFT calculation (PBE) of a geometry-optimized ZnCoHgPb structure.

Output
Crystal system ... cubic
Relative energy among the computed polymorphs ... 0.0 meV/atom
Total DFT energy (no corrections) ... -2.61 eV per atom

Unit cell a=6.7422 b=6.7422 c=6.7422 alpha=90.00 beta=90.00 gamma=90.00
Closest atoms and distances in Å follow each position.
Space group F-43m (No. 216)
Asymmetric unit:
Zn1 0.0000 0.0000 0.0000 [4 per cell]  4 Hg 2.92, 4 Pb 2.92
Co1 0.0000 0.0000 0.5000 [4 per cell]  4 Hg 2.92, 4 Pb 2.92
Hg1 0.2500 0.2500 0.7500 [4 per cell]  4 Zn 2.92, 4 Co 2.92
Pb1 0.2500 0.2500 0.2500 [4 per cell]  4 Co 2.92, 4 Zn 2.92

Record 13
The following is a DFT calculation (PBE) of a geometry-optimized CoHg2Pd structure.

Output
Crystal system ... cubic
Total DFT energy (no corrections) ... -2.87 eV per atom

Unit cell a=6.4826 b=6.4826 c=6.4826 alpha=90.00 beta=90.00 gamma=90.00
Closest atoms and distances in Å follow each position.
Space group F-43m (No. 216)
Asymmetric unit:
Co1 0.0000 0.0000 0.0000 [4 per cell]  4 Pd 2.81, 4 Hg 2.81
Hg1 0.0000 0.0000 0.5000 [4 per cell]  4 Hg 2.81, 4 Pd 2.81
Hg2 0.2500 0.2500 0.2500 [4 per cell]  4 Co 2.81, 4 Hg 2.81
Pd1 0.2500 0.2500 0.7500 [4 per cell]  4 Hg 2.81, 4 Co 2.81

Record 14
The following is a DFT calculation (PBE) of a geometry-optimized CoHgSbPd structure.

Output
Crystal system ... cubic
Relative energy among the computed polymorphs ... 0.0 meV/atom
Total DFT energy (no corrections) ... -4.05 eV per atom

Unit cell a=6.5263 b=6.5263 c=6.5263 alpha=90.00 beta=90.00 gamma=90.00
Closest atoms and distances in Å follow each position.
Space group F-43m (No. 216)
Asymmetric unit:
Co1 0.0000 0.0000 0.0000 [4 per cell]  4 Hg 2.83, 4 Sb 2.83
Hg1 0.2500 0.2500 0.2500 [4 per cell]  4 Co 2.83, 4 Pd 2.83
Sb1 0.2500 0.2500 0.7500 [4 per cell]  4 Co 2.83, 4 Pd 2.83
Pd1 0.0000 0.0000 0.5000 [4 per cell]  4 Hg 2.83, 4 Sb 2.83

Record 15
The following is a DFT calculation (PBE) of a geometry-optimized CoSnHgPd structure.

Output
Crystal system ... cubic
Relative energy among the computed polymorphs ... 0.0 meV/atom
Total DFT energy (no corrections) ... -4.11 eV per atom

Unit cell a=6.5046 b=6.5046 c=6.5046 alpha=90.00 beta=90.00 gamma=90.00
Closest atoms and distances in Å follow each position.
Space group F-43m (No. 216)
Asymmetric unit:
Co1 0.0000 0.0000 0.0000 [4 per cell]  4 Sn 2.82, 4 Hg 2.82
Sn1 0.2500 0.2500 0.7500 [4 per cell]  4 Co 2.82, 4 Pd 2.82
Hg1 0.2500 0.2500 0.2500 [4 per cell]  4 Co 2.82, 4 Pd 2.82
Pd1 0.0000 0.0000 0.5000 [4 per cell]  4 Hg 2.82, 4 Sn 2.82

Record 16
The following is a DFT calculation (PBE) of a geometry-optimized CoSiHgPt structure.

Output
Crystal system ... cubic
Relative energy among the computed polymorphs ... 0.0 meV/atom
Total DFT energy (no corrections) ... -4.54 eV per atom

Unit cell a=6.2591 b=6.2591 c=6.2591 alpha=90.00 beta=90.00 gamma=90.00
Closest atoms and distances in Å follow each position.
Space group F-43m (No. 216)
Asymmetric unit:
Co1 0.0000 0.0000 0.0000 [4 per cell]  4 Si 2.71, 4 Hg 2.71
Si1 0.2500 0.2500 0.7500 [4 per cell]  4 Pt 2.71, 4 Co 2.71
Hg1 0.2500 0.2500 0.2500 [4 per cell]  4 Co 2.71, 4 Pt 2.71
Pt1 0.0000 0.0000 0.5000 [4 per cell]  4 Hg 2.71, 4 Si 2.71

Record 17
The following is a DFT calculation (PBE) of a geometry-optimized PuCoHg structure.

Output
Crystal system ... cubic
Total DFT energy (no corrections) ... -5.76 eV per atom

Unit cell a=6.5234 b=6.5234 c=6.5234 alpha=90.00 beta=90.00 gamma=90.00
Closest atoms and distances in Å follow each position.
Space group F-43m (No. 216)
Asymmetric unit:
Pu1 0.0000 0.0000 0.0000 [4 per cell]  4 Hg 2.82, 4 Co 2.82
Co1 0.2500 0.2500 0.2500 [4 per cell]  4 Pu 2.82
Hg1 0.2500 0.2500 0.7500 [4 per cell]  4 Pu 2.82

Record 18
The following is a DFT calculation (PBE) of a geometry-optimized CoReHgSb structure.

Output
Crystal system ... cubic
Relative energy among the computed polymorphs ... 0.0 meV/atom
Total DFT energy (no corrections) ... -5.28 eV per atom

Unit cell a=6.4397 b=6.4397 c=6.4397 alpha=90.00 beta=90.00 gamma=90.00
Closest atoms and distances in Å follow each position.
Space group F-43m (No. 216)
Asymmetric unit:
Co1 0.0000 0.0000 0.0000 [4 per cell]  4 Hg 2.79, 4 Sb 2.79
Re1 0.0000 0.0000 0.5000 [4 per cell]  4 Hg 2.79, 4 Sb 2.79
Hg1 0.2500 0.2500 0.2500 [4 per cell]  4 Co 2.79, 4 Re 2.79
Sb1 0.2500 0.2500 0.7500 [4 per cell]  4 Co 2.79, 4 Re 2.79

Record 19
The following is a DFT calculation (PBE) of a geometry-optimized CoReSnHg structure.

Output
Crystal system ... cubic
Relative energy among the computed polymorphs ... 0.0 meV/atom
Total DFT energy (no corrections) ... -5.23 eV per atom

Unit cell a=6.4383 b=6.4383 c=6.4383 alpha=90.00 beta=90.00 gamma=90.00
Closest atoms and distances in Å follow each position.
Space group F-43m (No. 216)
Asymmetric unit:
Co1 0.0000 0.0000 0.0000 [4 per cell]  4 Hg 2.79, 4 Sn 2.79
Re1 0.0000 0.0000 0.5000 [4 per cell]  4 Hg 2.79, 4 Sn 2.79
Sn1 0.2500 0.2500 0.7500 [4 per cell]  4 Co 2.79, 4 Re 2.79
Hg1 0.2500 0.2500 0.2500 [4 per cell]  4 Co 2.79, 4 Re 2.79

Record 20
The following is a DFT calculation (PBE) of a geometry-optimized TlCoReHg structure.

Output
Crystal system ... cubic
Relative energy among the computed polymorphs ... 0.0 meV/atom
Total DFT energy (no corrections) ... -4.49 eV per atom

Unit cell a=6.5369 b=6.5369 c=6.5369 alpha=90.00 beta=90.00 gamma=90.00
Closest atoms and distances in Å follow each position.
Space group F-43m (No. 216)
Asymmetric unit:
Tl1 0.0000 0.0000 0.0000 [4 per cell]  4 Co 2.83, 4 Re 2.83
Co1 0.2500 0.2500 0.2500 [4 per cell]  4 Hg 2.83, 4 Tl 2.83
Re1 0.2500 0.2500 0.7500 [4 per cell]  4 Hg 2.83, 4 Tl 2.83
Hg1 0.0000 0.0000 0.5000 [4 per cell]  4 Co 2.83, 4 Re 2.83